Material: Cs2HfW3O12
Method: DFT, PBE+U
State: optimized geometry

Lattice parameters (Å, degrees): 7.5113 7.5113 7.5113 59.38 59.38 59.38
Closest atoms and distances in Å follow each position.
Atoms (fractional coordinates):
Cs 0.1274 0.1274 0.1274  6 O 3.27-3.37
Cs 0.8726 0.8726 0.8726  6 O 3.27-3.37
Hf 0.5000 0.5000 0.5000  6 O 2.08
W 0.0000 0.5000 0.5000  6 O 1.91-1.96
W 0.5000 0.0000 0.5000  6 O 1.91-1.96
W 0.5000 0.5000 0.0000  6 O 1.91-1.96
O 0.1736 0.5635 0.5635  1 W 1.91, 1 Hf 2.08
O 0.1915 0.1915 0.5618  2 W 1.96
O 0.1915 0.5618 0.1915  2 W 1.96
O 0.4365 0.4365 0.8264  1 W 1.91, 1 Hf 2.08
O 0.4365 0.8264 0.4365  1 W 1.91, 1 Hf 2.08
O 0.4382 0.8085 0.8085  2 W 1.96
O 0.5618 0.1915 0.1915  2 W 1.96
O 0.5635 0.1736 0.5635  1 W 1.91, 1 Hf 2.08
O 0.5635 0.5635 0.1736  1 W 1.91, 1 Hf 2.08
O 0.8085 0.4382 0.8085  2 W 1.96
O 0.8085 0.8085 0.4382  2 W 1.96
O 0.8264 0.4365 0.4365  1 W 1.91, 1 Hf 2.08

Computed properties:
**Total DFT energy (no corrections)**: -7.5116 eV per atom